[1]
# Nd8IrRh3Br4 (PBE-GGA, relaxed)
data_Nd8IrRh3Br4
_space_group_name_H-M_alt 'P 1'
_space_group_IT_number 1
_space_group_name_Hall 'P 1'
_cell_length_a 8.268
_cell_length_b 9.181
_cell_length_c 8.268
_cell_angle_alpha 116.83
_cell_angle_beta 120.00
_cell_angle_gamma 90.00
loop_
_atom_site_label
_atom_site_type_symbol
_atom_site_fract_x
_atom_site_fract_y
_atom_site_fract_z
_atom_site_occupancy
Nd1 Nd 0.267 0.304 0.035 1
Nd2 Nd 0.768 0.305 0.537 1
Nd3 Nd 0.732 0.695 0.464 1
Nd4 Nd 0.733 0.696 0.965 1
Nd5 Nd 0.768 0.304 0.035 1
Nd6 Nd 0.232 0.696 0.965 1
Nd7 Nd 0.232 0.695 0.463 1
Nd8 Nd 0.268 0.305 0.536 1
Rh1 Rh 0.500 0.500 0.000 1
Rh2 Rh 0.500 0.500 0.500 1
Rh3 Rh 0.000 0.500 0.500 1
Br1 Br 0.500 0.000 0.500 1
Br2 Br 0.000 0.000 0.500 1
Br3 Br 0.000 0.000 0.000 1
Br4 Br 0.500 0.000 0.000 1
Ir1 Ir 0.000 0.500 0.000 1
# Raw total energy: -5.8152 eV/atom


[2]
# Nd6Ir2RuBr3 (PBE-GGA, relaxed)
data_Nd6Ir2RuBr3
_space_group_name_H-M_alt 'P 1'
_space_group_IT_number 1
_space_group_name_Hall 'P 1'
_cell_length_a 7.160
_cell_length_b 7.160
_cell_length_c 8.187
_cell_angle_alpha 98.38
_cell_angle_beta 98.38
_cell_angle_gamma 120.00
loop_
_atom_site_label
_atom_site_type_symbol
_atom_site_fract_x
_atom_site_fract_y
_atom_site_fract_z
_atom_site_occupancy
Br1 Br 0.165 0.835 0.500 1
Br2 Br 0.500 0.500 0.500 1
Br3 Br 0.835 0.165 0.500 1
Nd1 Nd 0.736 0.736 0.196 1
Nd2 Nd 0.264 0.264 0.804 1
Nd3 Nd 0.606 0.935 0.804 1
Nd4 Nd 0.935 0.606 0.804 1
Nd5 Nd 0.394 0.065 0.196 1
Nd6 Nd 0.065 0.394 0.196 1
Ir1 Ir 0.667 0.333 0.000 1
Ir2 Ir 0.333 0.667 0.000 1
Ru1 Ru 0.000 0.000 0.000 1
# Raw total energy: -6.0387 eV/atom


[3]
# Nd6IrRu2Br3 (PBE-GGA, relaxed)
data_Nd6IrRu2Br3
_space_group_name_H-M_alt 'P 1'
_space_group_IT_number 1
_space_group_name_Hall 'P 1'
_cell_length_a 7.116
_cell_length_b 7.116
_cell_length_c 8.209
_cell_angle_alpha 98.31
_cell_angle_beta 98.31
_cell_angle_gamma 120.00
loop_
_atom_site_label
_atom_site_type_symbol
_atom_site_fract_x
_atom_site_fract_y
_atom_site_fract_z
_atom_site_occupancy
Nd1 Nd 0.597 0.935 0.803 1
Nd2 Nd 0.935 0.597 0.803 1
Nd3 Nd 0.065 0.403 0.197 1
Nd4 Nd 0.403 0.065 0.197 1
Nd5 Nd 0.271 0.271 0.803 1
Nd6 Nd 0.729 0.729 0.197 1
Ru1 Ru 0.666 0.334 0.000 1
Ru2 Ru 0.334 0.666 0.000 1
Br1 Br 0.169 0.831 0.500 1
Br2 Br 0.500 0.500 0.500 1
Br3 Br 0.831 0.169 0.500 1
Ir1 Ir 0.000 0.000 0.000 1
# Raw total energy: -5.9574 eV/atom